[1]
## KSrNb2V (PBE-GGA)

Data for a relaxed KSrNb2V crystal.

Lattice parameters (Å, degrees): 5.0318 5.0318 4.7438 90.00 90.00 90.00
Closest atoms and distances in Å follow each position.
Space group P4/mmm (No. 123)
Unique sites:
K 0.0000 0.0000 0.0000  2 V 2.37, 4 Nb 2.52
Sr 0.5000 0.5000 0.5000  8 Nb 3.46, 4 V 3.56
Nb 0.0000 0.5000 0.0000  2 K 2.52
V 0.0000 0.0000 0.5000  2 K 2.37

Energy relative to the elements: 2.49 eV per atom
Density: 5.03 Mg/m³

---

[2]
## Pm3HoHg4 (PBE-GGA)

Data for a relaxed Pm3HoHg4 crystal.

Lattice parameters (Å, degrees): 8.4198 8.4198 6.6697 90.00 90.00 90.00
Closest atoms and distances in Å follow each position.
Space group I4/mmm (No. 139)
Unique sites:
Pm 0.0000 0.0000 0.0000  4 Hg 3.02, 2 Ho 3.33
Pm 0.0000 0.5000 0.2500  2 Pm 3.33, 8 Hg 3.41
Ho 0.0000 0.0000 0.5000  4 Hg 2.93
Hg 0.2464 0.2464 0.5000  1 Ho 2.93, 1 Pm 3.02

Energy relative to the elements: -0.14 eV per atom
Density: 9.85 Mg/m³
Energy above the lowest structure with this stoichiometry: 334.0 meV per atom

---

[3]
## SrIrCl (PBE-GGA)

Data for a relaxed SrIrCl crystal.

Lattice parameters (Å, degrees): 3.2491 3.2491 14.3908 90.00 90.00 90.00
Closest atoms and distances in Å follow each position.
Space group I4mm (No. 107)
Unique sites:
Sr 0.0000 0.0000 0.0000  4 Cl 2.89, 4 Ir 3.21
Ir 0.0000 0.0000 0.3446  4 Sr 3.21, 4 Ir 3.25
Cl 0.0000 0.0000 0.6223  4 Sr 2.89

Density: 6.89 Mg/m³
Energy above the lowest structure with this stoichiometry: 1140.3 meV per atom

---

- Among the records above, which one has the highest density?
  Pm3HoHg4

---

- Among the records above, which one has the lowest density?
  KSrNb2V